[1]
PrTm2Hg2: optimized geometry, PBE-GGA.

Cell lengths 3.7176, 5.3745, 13.8606 Å; angles 90.00, 97.71, 90.00 degrees
Last column: nearest neighbours and their distance in Å.
Positions (direct):
Pr: 0.8517 0.7500 0.7068  6 Hg 3.27-3.39, 2 Tm 3.65
Pr: 0.1483 0.2500 0.2932  6 Hg 3.27-3.39, 2 Tm 3.65
Tm: 0.0487 0.7500 0.0959  8 Hg 3.13-3.27
Tm: 0.9513 0.2500 0.9041  8 Hg 3.13-3.27
Tm: 0.2361 0.7500 0.4727  2 Hg 3.14, 4 Tm 3.35
Tm: 0.7639 0.2500 0.5273  2 Hg 3.14, 4 Tm 3.35
Hg: 0.6449 0.7500 0.2882  4 Tm 3.14-3.23, 4 Pr 3.27
Hg: 0.3551 0.2500 0.7118  4 Tm 3.14-3.23, 4 Pr 3.27
Hg: 0.4565 0.7500 0.9125  6 Tm 3.13-3.27, 2 Pr 3.38-3.39
Hg: 0.5435 0.2500 0.0875  6 Tm 3.13-3.27, 2 Pr 3.38-3.39

Properties
N(E_F) in states/eV per cell: 8.9
Relative energy among the computed polymorphs in meV/atom: 0
SG: P2_1/m, No. 11
DFT formation energy in meV per atom: -369

[2]
CaGa2Fe: optimized geometry, PBE-GGA.

Cell lengths 4.1267, 4.1267, 5.8024 Å; angles 69.17, 69.17, 60.00 degrees
Last column: nearest neighbours and their distance in Å.
Positions (direct):
Ca: 0.5000 0.5000 0.5000  8 Ga 3.11-3.28
Fe: 0.0000 0.0000 0.0000  6 Ga 2.47
Ga: 0.2930 0.2930 0.1209  3 Fe 2.47, 3 Ga 2.70
Ga: 0.7070 0.7070 0.8791  3 Fe 2.47, 3 Ga 2.70

Properties
N(E_F) in states/eV per cell: 4.5
SG: R-3m, No. 166
DFT formation energy in meV per atom: -174

[3]
Na2GaSn: optimized geometry, PBE-GGA.

Cell lengths 3.3284, 3.3284, 11.4753 Å; angles 81.66, 81.66, 60.00 degrees
Last column: nearest neighbours and their distance in Å.
Positions (direct):
Na: 0.0875 0.0875 0.7374  1 Ga 2.97, 3 Sn 3.30
Na: 0.9125 0.9125 0.2626  1 Ga 2.97, 3 Sn 3.30
Sn: 0.5000 0.5000 0.5000  6 Na 3.30, 6 Sn 3.33
Ga: 0.0000 0.0000 0.0000  2 Na 2.97

Properties
N(E_F) in states/eV per cell: 2.3
Relative energy among the computed polymorphs in meV/atom: 207
SG: R-3m, No. 166
DFT formation energy in meV per atom: 84

[4]
DyMg2CuAu4: optimized geometry, PBE-GGA.

Cell lengths 4.6389, 4.6389, 8.5686 Å; angles 74.29, 74.29, 60.00 degrees
Last column: nearest neighbours and their distance in Å.
Positions (direct):
Dy: 0.0000 0.0000 0.0000  8 Au 3.03-3.08
Mg: 0.7590 0.7590 0.7231  7 Au 2.80-2.81
Mg: 0.2410 0.2410 0.2769  7 Au 2.80-2.81
Cu: 0.5000 0.5000 0.5000  8 Au 2.66-2.85
Au: 0.3911 0.3911 0.8268  1 Cu 2.66, 3 Mg 2.81
Au: 0.8737 0.8737 0.3790  4 Mg 2.80, 3 Cu 2.85, 1 Dy 3.08
Au: 0.1263 0.1263 0.6210  4 Mg 2.80, 3 Cu 2.85, 1 Dy 3.08
Au: 0.6089 0.6089 0.1732  1 Cu 2.66, 3 Mg 2.81

Properties
N(E_F) in states/eV per cell: 2.7
SG: R-3m, No. 166
DFT formation energy in meV per atom: -534

[5]
ErPuPt2: optimized geometry, PBE-GGA.

Cell lengths 3.7904, 4.3615, 5.6978 Å; angles 90.00, 109.41, 90.00 degrees
Last column: nearest neighbours and their distance in Å.
Positions (direct):
Er: 0.7215 0.0000 0.9823  7 Pt 2.91-3.11
Pu: 0.4443 0.5000 0.4273  7 Pt 2.91-3.11
Pt: 0.1729 0.5000 0.8853  3 Pu 2.91-3.11, 2 Pt 2.92, 4 Er 2.94
Pt: 0.9923 0.0000 0.5231  3 Er 2.91-3.11, 2 Pt 2.92, 4 Pu 2.93-2.94

Properties
N(E_F) in states/eV per cell: 12.0
SG: Amm2, No. 38
DFT formation energy in meV per atom: -1046

[6]
La5NdSm2: optimized geometry, PBE-GGA.

Cell lengths 5.2484, 7.3813, 14.7656 Å; angles 90.00, 90.00, 90.00 degrees
Last column: nearest neighbours and their distance in Å.
Positions (direct):
La: 0.0000 0.0000 0.0000  2 Nd 3.69, 4 Sm 3.69, 6 La 3.70
La: 0.0000 0.5000 0.5000  2 Nd 3.69, 4 Sm 3.69, 6 La 3.70
La: 0.0000 0.5020 0.7508  1 Nd 3.68, 7 La 3.69-3.70, 4 Sm 3.70-3.71
La: 0.0000 0.4980 0.2492  1 Nd 3.68, 7 La 3.69-3.70, 4 Sm 3.70-3.71
La: 0.0000 0.9980 0.2508  1 Nd 3.68, 7 La 3.69-3.70, 4 Sm 3.70-3.71
La: 0.0000 0.0020 0.7492  1 Nd 3.68, 7 La 3.69-3.70, 4 Sm 3.70-3.71
La: 0.5000 0.2507 0.8753  4 Sm 3.68-3.70, 2 Nd 3.70, 6 La 3.70
La: 0.5000 0.7493 0.1247  4 Sm 3.68-3.70, 2 Nd 3.70, 6 La 3.70
La: 0.5000 0.2493 0.3753  4 Sm 3.68-3.70, 2 Nd 3.70, 6 La 3.70
La: 0.5000 0.7507 0.6247  4 Sm 3.68-3.70, 2 Nd 3.70, 6 La 3.70
Nd: 0.0000 0.0000 0.5000  8 La 3.68-3.70, 4 Sm 3.70
Nd: 0.0000 0.5000 0.0000  8 La 3.68-3.70, 4 Sm 3.70
Sm: 0.5000 0.2514 0.6245  10 La 3.68-3.71, 2 Nd 3.70
Sm: 0.5000 0.7486 0.3755  10 La 3.68-3.71, 2 Nd 3.70
Sm: 0.5000 0.2486 0.1245  10 La 3.68-3.71, 2 Nd 3.70
Sm: 0.5000 0.7514 0.8755  10 La 3.68-3.71, 2 Nd 3.70

Properties
N(E_F) in states/eV per cell: 26.3
Relative energy among the computed polymorphs in meV/atom: 0
SG: Pbam, No. 55
DFT formation energy in meV per atom: 11

[7]
La2PdAu: optimized geometry, PBE-GGA.

Cell lengths 4.2787, 4.2787, 7.7494 Å; angles 73.97, 73.97, 60.00 degrees
Last column: nearest neighbours and their distance in Å.
Positions (direct):
La: 0.0770 0.0770 0.7690  3 Pd 3.01, 3 Au 3.17
La: 0.2566 0.2566 0.2303  3 Pd 2.98, 3 Au 3.16
Pd: 0.6657 0.6657 0.0030  6 La 2.98-3.01
Au: 0.5008 0.5008 0.4977  6 La 3.16-3.17

Properties
N(E_F) in states/eV per cell: 2.2
SG: R3m, No. 160
DFT formation energy in meV per atom: -741

[8]
Ba3LiTe3: optimized geometry, PBE-GGA.

Cell lengths 7.1342, 11.1916, 14.1572 Å; angles 90.00, 90.00, 108.59 degrees
Last column: nearest neighbours and their distance in Å.
Positions (direct):
Ba: 0.6995 0.0000 0.8581  2 Li 3.42, 6 Te 3.49-3.69
Ba: 0.8005 0.0000 0.3581  2 Li 3.42, 6 Te 3.49-3.69
Ba: 0.1995 0.0000 0.6419  2 Li 3.42, 6 Te 3.49-3.69
Ba: 0.3005 0.0000 0.1419  2 Li 3.42, 6 Te 3.49-3.69
Ba: 0.0419 0.6541 0.3672  1 Li 3.37, 6 Te 3.50-3.72
Ba: 0.4581 0.3459 0.8672  1 Li 3.37, 6 Te 3.50-3.72
Ba: 0.8877 0.3459 0.1328  1 Li 3.37, 6 Te 3.50-3.72
Ba: 0.6123 0.6541 0.6328  1 Li 3.37, 6 Te 3.50-3.72
Ba: 0.9581 0.3459 0.6328  1 Li 3.37, 6 Te 3.50-3.72
Ba: 0.5419 0.6541 0.1328  1 Li 3.37, 6 Te 3.50-3.72
Ba: 0.1123 0.6541 0.8672  1 Li 3.37, 6 Te 3.50-3.72
Ba: 0.3877 0.3459 0.3672  1 Li 3.37, 6 Te 3.50-3.72
Li: 0.4177 0.8353 0.5000  4 Te 2.81-2.85
Li: 0.0823 0.1647 0.0000  4 Te 2.81-2.85
Li: 0.5823 0.1647 0.5000  4 Te 2.81-2.85
Li: 0.9177 0.8353 0.0000  4 Te 2.81-2.85
Te: 0.2138 0.0000 0.8881  2 Li 2.81
Te: 0.2862 0.0000 0.3881  2 Li 2.81
Te: 0.7138 0.0000 0.6119  2 Li 2.81
Te: 0.7862 0.0000 0.1119  2 Li 2.81
Te: 0.5579 0.6755 0.3819  1 Li 2.85
Te: 0.9421 0.3245 0.8819  1 Li 2.85
Te: 0.3824 0.3245 0.1181  1 Li 2.85
Te: 0.1176 0.6755 0.6181  1 Li 2.85
Te: 0.4421 0.3245 0.6181  1 Li 2.85
Te: 0.0579 0.6755 0.1181  1 Li 2.85
Te: 0.6176 0.6755 0.8819  1 Li 2.85
Te: 0.8824 0.3245 0.3819  1 Li 2.85

Properties
N(E_F) in states/eV per cell: 12.1
Uncorrected formation energy in eV per atom: -1.4792
SG: Cmce, No. 64